A relaxed Nb3BiCl crystal, computed with GGA-PBE.

Geometry as POSCAR:
```
Nb3BiCl
1.0
5.2701 0.0000 0.0000
0.0000 5.2701 0.0000
0.0000 0.0000 5.2701
Nb Bi Cl
3 1 1
direct
0.0000 0.0000 0.5000
0.0000 0.5000 0.0000
0.5000 0.0000 0.0000
0.0000 0.0000 0.0000
0.5000 0.5000 0.5000
```

## Properties
energy above the most stable polymorph in this dataset	1.4542	eV/atom
total moment	0.00	μB/cell
ρ	5.9	g/cm³
raw total energy	-25.84	eV/cell
formation energy without anion corrections	2.019	eV/atom


A relaxed TaCoTcPt2 crystal, computed with GGA-PBE.

Geometry as POSCAR:
```
TaCoTcPt2
1.0
4.8713 0.0000 0.0000
0.0000 4.8713 0.0000
0.0000 0.0000 4.6528
Ta Co Tc Pt
1 1 1 2
direct
0.0000 0.0000 0.0000
0.5000 0.5000 0.5000
0.0000 0.0000 0.5000
0.0000 0.5000 0.0000
0.5000 0.0000 0.0000
```

## Properties
total moment	3.14	μB/cell
ρ	10.9	g/cm³
raw total energy	-33.93	eV/cell
ΔH_f (0 K)	1495	meV per atom


Which formula does entry 2 have?
TaCoTcPt2